No. 1
This record from OQMD via LeMat-Bulk describes crystalline LuInHg2 at its relaxed geometry. The functional is PBE.

Cell and atoms, written as POSCAR:
```
LuInHg2
1.0
0.000 3.637 3.637
3.637 0.000 3.637
3.637 3.637 0.000
Hg In Lu
2 1 1
direct
0.750 0.750 0.750
0.000 0.000 0.000
0.500 0.500 0.500
0.250 0.250 0.250
```

Properties
The crystal system is cubic. The raw total energy is -2.13 eV/atom.



No. 2
This record from OQMD via LeMat-Bulk describes crystalline PrB2Pt6 at its relaxed geometry. The functional is PBE.

Cell and atoms, written as POSCAR:
```
PrB2Pt6
1.0
-0.260 1.761 -5.361
-4.666 -1.844 2.597
-1.069 5.166 1.749
Pt B Pr
6 2 1
direct
0.500 0.500 0.753
0.000 0.500 0.247
0.500 0.000 0.753
0.500 0.000 0.247
0.500 0.500 0.247
0.000 0.500 0.753
0.667 0.333 0.500
0.333 0.667 0.500
0.000 0.000 0.000
```

Properties
The crystal system is hexagonal. The raw total energy is -6.72 eV/atom.



No. 3
This record from OQMD via LeMat-Bulk describes crystalline Nd2Ge4PdPt at its relaxed geometry. The functional is PBE.

Cell and atoms, written as POSCAR:
```
Nd2Ge4PdPt
1.0
4.330 0.000 0.000
0.000 4.444 0.000
-2.092 0.000 8.681
Nd Ge Pt Pd
2 4 1 1
direct
0.383 0.500 0.783
0.615 0.000 0.215
0.076 0.500 0.070
0.254 0.000 0.499
0.747 0.500 0.503
0.925 0.000 0.930
0.172 0.500 0.352
0.827 0.000 0.648
```

Properties
The crystal system is monoclinic. Its energy above the lowest structure with this stoichiometry is 3.2 meV per atom.



No. 4
This record from OQMD via LeMat-Bulk describes crystalline PaAgAu at its relaxed geometry. The functional is PBE.

Cell and atoms, written as POSCAR:
```
PaAgAu
1.0
0.000 3.342 3.342
3.342 0.000 3.342
3.342 3.342 0.000
Ag Au Pa
1 1 1
direct
0.250 0.250 0.250
0.000 0.000 0.000
0.750 0.750 0.750
```

Properties
The crystal system is cubic. Its energy above the lowest structure with this stoichiometry is 0.0 meV per atom. As for the formation energy: 16.6 kJ/mol of formula units.



No. 5
This record from OQMD via LeMat-Bulk describes crystalline Pr2Nd2O5 at its relaxed geometry. The functional is PBE.

Cell and atoms, written as POSCAR:
```
Pr2Nd2O5
1.0
7.337 0.000 0.000
0.000 4.571 0.000
0.000 0.000 4.571
O Nd Pr
5 2 2
direct
0.777 0.000 0.500
0.500 0.500 0.500
0.777 0.500 0.000
0.223 0.000 0.500
0.223 0.500 0.000
0.788 0.500 0.500
0.212 0.500 0.500
0.000 0.000 0.000
0.500 0.000 0.000
```

Properties
The crystal system is tetragonal. Its energy above the lowest structure with this stoichiometry is 0.0 meV per atom.



No. 6
This record from OQMD via LeMat-Bulk describes crystalline DyPd at its relaxed geometry. The functional is PBE.

Cell and atoms, written as POSCAR:
```
DyPd
1.0
0.000 3.150 3.150
3.150 0.000 3.150
3.150 3.150 0.000
Dy Pd
1 1
direct
0.000 0.000 0.000
0.250 0.250 0.250
```

Properties
The crystal system is cubic. As for the formation energy: -24.4 kJ/mol of formula units.



No. 7
This record from OQMD via LeMat-Bulk describes crystalline DyFeB4 at its relaxed geometry. The functional is PBE.

Cell and atoms, written as POSCAR:
```
DyFeB4
1.0
-1.569 2.649 3.527
1.569 -2.649 3.527
1.569 2.649 -3.527
B Dy Fe
4 1 1
direct
0.583 0.248 0.335
0.087 0.752 0.335
0.913 0.248 0.665
0.417 0.752 0.665
0.000 0.000 0.000
0.500 0.500 0.000
```

Properties
The crystal system is orthorhombic. Its energy above the lowest structure with this stoichiometry is 413.1 meV per atom.



No. 8
This record from OQMD via LeMat-Bulk describes crystalline K2LiLuI6 at its relaxed geometry. The functional is PBE.

Cell and atoms, written as POSCAR:
```
K2LiLuI6
1.0
-4.177 4.177 5.918
4.177 -4.177 5.918
4.177 4.177 -5.918
I K Li Lu
6 2 1 1
direct
0.750 0.750 0.499
0.250 0.250 0.501
0.750 0.250 0.000
0.750 0.750 0.000
0.250 0.250 0.000
0.250 0.750 0.000
0.750 0.250 0.500
0.250 0.750 0.500
0.500 0.500 0.000
0.000 0.000 0.000
```

Properties
The crystal system is tetragonal. The raw total energy is -3.12 eV/atom.



No. 9
This record from OQMD via LeMat-Bulk describes crystalline CoSe2 at its relaxed geometry. The functional is PBE.

Cell and atoms, written as POSCAR:
```
CoSe2
1.0
3.595 2.076 5.871
-3.595 2.076 5.871
0.000 -4.151 5.871
Se Co
4 2
direct
0.875 0.375 0.375
0.375 0.375 0.875
0.375 0.875 0.375
0.375 0.375 0.375
0.250 0.250 0.250
0.500 0.500 0.500
```

Properties
The crystal system is cubic. The raw total energy is -4.41 eV/atom.



No. 10
This record from OQMD via LeMat-Bulk describes crystalline Ba2LiNbO6 at its relaxed geometry. The functional is PBE.

Cell and atoms, written as POSCAR:
```
Ba2LiNbO6
1.0
5.796 0.000 0.000
0.000 5.805 0.000
-0.013 0.000 8.200
Li Nb O Ba
2 2 12 4
direct
0.000 0.000 0.000
0.500 0.500 0.500
0.500 0.500 0.000
0.000 0.000 0.500
0.495 0.501 0.756
0.747 0.259 0.998
0.753 0.759 0.502
0.505 0.499 0.244
0.005 0.001 0.744
0.241 0.753 0.498
0.259 0.253 0.002
0.995 0.999 0.256
0.247 0.241 0.498
0.741 0.747 0.998
0.253 0.741 0.002
0.759 0.247 0.502
0.000 0.501 0.750
0.500 0.001 0.750
0.000 0.499 0.250
0.500 0.999 0.250
```

Properties
The crystal system is monoclinic. The raw total energy is -6.81 eV/atom.



No. 11
This record from OQMD via LeMat-Bulk describes crystalline LiPr at its relaxed geometry. The functional is PBE.

Cell and atoms, written as POSCAR:
```
LiPr
1.0
3.450 0.000 0.000
-1.725 2.987 0.000
0.000 0.000 5.581
Pr Li
1 1
direct
0.333 0.667 0.250
0.667 0.333 0.750
```

Properties
The crystal system is hexagonal. Its energy above the lowest structure with this stoichiometry is 7.8 meV per atom.



No. 12
This record from OQMD via LeMat-Bulk describes crystalline ZrAl at its relaxed geometry. The functional is PBE.

Cell and atoms, written as POSCAR:
```
ZrAl
1.0
-9.446 -6.074 1.707
3.107 -4.892 -0.211
0.697 0.240 4.714
Al Zr
8 8
direct
0.898 0.260 0.500
0.171 0.000 0.500
0.898 0.740 0.500
0.768 0.240 0.000
0.987 0.500 0.000
0.679 0.000 0.500
0.496 0.500 0.000
0.768 0.760 0.000
0.128 0.500 0.500
0.253 0.751 0.000
0.538 0.000 0.000
0.413 0.251 0.500
0.413 0.749 0.500
0.658 0.500 0.500
0.009 0.000 0.000
0.253 0.249 0.000
```

Properties
The crystal system is orthorhombic. The raw total energy is -6.43 eV/atom.